A plane-wave DFT calculation with GGA-PBE was carried out for crystalline LiCu5P2O8 at its relaxed geometry.

energy = -5.849 eV per atom
space-group type = Pm (6)
uncorrected formation energy = -1.294 eV/atom

Cell: 6.212 5.162 5.678 Å, 86.95 90.00 90.00°
Fractional positions:
Li 0.000 0.480 0.145
Cu 0.283 0.971 0.380
Cu 0.296 0.558 0.650
Cu 0.500 0.065 0.750
Cu 0.704 0.558 0.650
Cu 0.717 0.971 0.380
P 0.000 0.002 0.850
P 0.500 0.481 0.171
O 0.000 0.093 0.104
O 0.000 0.701 0.842
O 0.196 0.122 0.705
O 0.288 0.567 0.297
O 0.500 0.182 0.152
O 0.500 0.620 0.922
O 0.712 0.567 0.297
O 0.804 0.122 0.705